# FeWSe2

FeWSe2 after structural relaxation (PBE, Alexandria via LeMat-Bulk).

Unit cell a=4.3745 b=4.3745 c=4.3745 alpha=60.00 beta=60.00 gamma=60.00
Last column: nearest neighbours and their distance in Å.
Fractional coordinates of all 4 atoms:
Fe 0.0000 0.0000 0.0000  8 Se 2.68
W 0.5000 0.5000 0.5000  8 Se 2.68
Se 0.2500 0.2500 0.2500  4 Fe 2.68, 4 W 2.68
Se 0.7500 0.7500 0.7500  4 W 2.68, 4 Fe 2.68

The mass density is 11.15 g cm⁻³. The value obtained for the excess energy over the best structure of this formula in the dataset is 53.67 kJ/mol of atoms. Its crystal system is cubic.



# FeW2Se

FeW2Se after structural relaxation (PBE, Alexandria via LeMat-Bulk).

Unit cell a=8.4147 b=8.4147 c=8.4147 alpha=19.97 beta=19.97 gamma=19.97
Last column: nearest neighbours and their distance in Å.
Fractional coordinates of all 4 atoms:
Fe 0.0000 0.0000 0.0000  6 W 2.63, 6 Fe 2.92
W 0.2515 0.2515 0.2515  3 Fe 2.63, 3 Se 2.69, 6 W 2.92
W 0.7485 0.7485 0.7485  3 Fe 2.63, 3 Se 2.69, 6 W 2.92
Se 0.5000 0.5000 0.5000  6 W 2.69, 6 Se 2.92

The mass density is 13.73 g cm⁻³. Its crystal system is trigonal.



# FeW2Se

FeW2Se after structural relaxation (PBE, Alexandria via LeMat-Bulk).

Unit cell a=8.4453 b=8.4453 c=8.4453 alpha=20.21 beta=20.21 gamma=20.21
Last column: nearest neighbours and their distance in Å.
Fractional coordinates of all 4 atoms:
Fe 0.0000 0.0000 0.0000  3 W 2.52, 3 Se 2.75
W 0.5022 0.5022 0.5022  3 Se 2.57
W 0.7412 0.7412 0.7412  3 Fe 2.52
Se 0.2463 0.2463 0.2463  3 W 2.57, 3 Fe 2.75

The mass density is 13.27 g cm⁻³. Its crystal system is trigonal.



# FeW2Se

FeW2Se after structural relaxation (PBE, Alexandria via LeMat-Bulk).

Unit cell a=5.0041 b=5.0041 c=5.0041 alpha=136.12 beta=136.12 gamma=63.80
Last column: nearest neighbours and their distance in Å.
Fractional coordinates of all 4 atoms:
Fe 0.0000 0.0000 0.0000  4 Se 2.64, 8 W 2.83
W 0.2500 0.7500 0.5000  4 W 2.64, 4 Se 2.83, 4 Fe 2.83
W 0.7500 0.2500 0.5000  4 W 2.64, 4 Se 2.83, 4 Fe 2.83
Se 0.5000 0.5000 0.0000  4 Fe 2.64, 8 W 2.83

The mass density is 14.04 g cm⁻³. Its crystal system is tetragonal.



# FeW2Se

FeW2Se after structural relaxation (PBE, Alexandria via LeMat-Bulk).

Unit cell a=3.0840 b=4.4306 c=4.4348 alpha=90.00 beta=90.00 gamma=90.00
Last column: nearest neighbours and their distance in Å.
Fractional coordinates of all 4 atoms:
Fe 0.0000 0.0000 0.0000  4 Se 2.70, 4 W 2.70
W 0.0000 0.5000 0.5000  4 W 2.70, 4 Se 2.70
W 0.5000 0.0000 0.5000  4 W 2.70, 4 Fe 2.70
Se 0.5000 0.5000 0.0000  4 Fe 2.70, 4 W 2.70

The mass density is 13.77 g cm⁻³. Its crystal system is orthorhombic.



# FeW2Se

FeW2Se after structural relaxation (PBE, Alexandria via LeMat-Bulk).

Unit cell a=4.7386 b=4.7386 c=4.5928 alpha=105.67 beta=105.67 gamma=36.48
Last column: nearest neighbours and their distance in Å.
Fractional coordinates of all 4 atoms:
Fe 0.0000 0.0000 0.0000  7 W 2.49-2.75, 2 Se 2.69
W 0.2676 0.2676 0.8720  3 Fe 2.49-2.64, 2 Se 2.65
W 0.4860 0.4860 0.4949  3 Se 2.59-2.60, 4 Fe 2.73-2.75
Se 0.7387 0.7387 0.3301  7 W 2.59-2.84, 2 Fe 2.69

The mass density is 14.20 g cm⁻³. Its crystal system is monoclinic.



| no. | raw formation energy (meV/atom) | calculated volume (Å³/cell) | total magnetization (Bohr magnetons per cell) |
| --- | --- | --- | --- |
| 1 | 423 | 59.2 | 0.0 |
| 2 | 493 | 60.8 | 1.6 |
| 3 | 391 | 62.9 | 1.8 |
| 4 | 662 | 59.4 | 0.0 |
| 5 | 562 | 60.6 | 1.4 |
| 6 | 383 | 58.8 | 0.8 |